# La4Sm5Tm4

An optimized crystal structure of La4Sm5Tm4 (GGA-PBE, the Alexandria database).

The structure belongs to space group I4/m (No. 87); the cell edges are 13.0479, 13.0479 and 5.1409 Å and the angles 90.00°, 90.00° and 90.00°. The distinct sites, in fractional coordinates, are La at (0.0779, 0.6179, 0.0000), Sm at (0.0000, 0.0000, 0.0000), Sm at (0.0418, 0.8111, 0.5000) and Tm at (0.1534, 0.2303, 0.0000).

The calculated total energy comes out at -4.68 eV/atom. The formation energy from the elements comes out at 27 meV per atom. The crystal system is tetragonal.

***

# CsTl5Pb

An optimized crystal structure of CsTl5Pb (GGA-PBE, the Alexandria database).

The structure belongs to space group Cmmm (No. 65); the cell edges are 6.6513, 9.6245 and 8.9874 Å and the angles 90.00°, 90.00° and 90.00°. The distinct sites, in fractional coordinates, are Cs at (0.0000, 0.0000, 0.0000), Tl at (0.0000, 0.0000, 0.5000), Tl at (0.2500, 0.2500, 0.2996) and Pb at (0.0000, 0.5000, 0.5000).

Its polymorph energy (0 for the lowest one) is 0.0282 eV/atom. The calculated total energy comes out at -2.35 eV/atom. The formation energy from the elements comes out at -12 meV per atom. The crystal system is orthorhombic.

***

# LaGdScCd

An optimized crystal structure of LaGdScCd (GGA-PBE, the Alexandria database).

The structure belongs to space group F-43m (No. 216); the cell edges are 7.7375, 7.7375 and 7.7375 Å and the angles 90.00°, 90.00° and 90.00°. The distinct sites, in fractional coordinates, are La at (0.0000, 0.0000, 0.0000), Gd at (0.0000, 0.0000, 0.5000), Sc at (0.2500, 0.2500, 0.2500) and Cd at (0.2500, 0.2500, 0.7500).

The calculated total energy comes out at -6.63 eV/atom. The formation energy from the elements comes out at -61 meV per atom. The crystal system is cubic.

***

# Zr3Ti2Bi3

An optimized crystal structure of Zr3Ti2Bi3 (GGA-PBE, the Alexandria database).

The structure belongs to space group P6_3/mcm (No. 193); the cell edges are 8.5073, 8.5073 and 5.7156 Å and the angles 90.00°, 90.00° and 120.00°. The distinct sites, in fractional coordinates, are Zr at (0.0000, 0.2317, 0.2500), Ti at (0.3333, 0.6667, 0.0000) and Bi at (0.0000, 0.4004, 0.7500).

Its polymorph energy (0 for the lowest one) is 0.0000 eV/atom. The calculated total energy comes out at -6.88 eV/atom. The formation energy from the elements comes out at -245 meV per atom. The crystal system is hexagonal.

***

# LaDyAl2Ge

An optimized crystal structure of LaDyAl2Ge (GGA-PBE, the Alexandria database).

The structure belongs to space group Imm2 (No. 44); the cell edges are 4.3939, 4.4993 and 12.3683 Å and the angles 90.00°, 90.00° and 90.00°. The distinct sites, in fractional coordinates, are La at (0.0000, 0.0000, 0.0000), Dy at (0.0000, 0.5000, 0.7565), Al at (0.0000, 0.0000, 0.6059), Al at (0.0000, 0.5000, 0.2392) and Ge at (0.0000, 0.0000, 0.4020).

The calculated total energy comes out at -4.85 eV/atom. The formation energy from the elements comes out at -523 meV per atom. The crystal system is orthorhombic.

***

# TbCoSi

An optimized crystal structure of TbCoSi (GGA-PBE, the Alexandria database).

The structure belongs to space group Pnma (No. 62); the cell edges are 6.9775, 4.2150 and 6.8119 Å and the angles 90.00°, 90.00° and 90.00°. The distinct sites, in fractional coordinates, are Tb at (0.0209, 0.2500, 0.1840), Co at (0.1422, 0.7500, 0.4327) and Si at (0.1924, 0.2500, 0.6085).

The calculated total energy comes out at -6.43 eV/atom. The value obtained for the formation energy without anion corrections is -0.7118 eV per atom. The crystal system is orthorhombic.